Compound: NaNdTe
Source: the Open Quantum Materials Database
Functional: PBE
Structure: optimized geometry

Cell: 5.168 5.168 5.168 Å, 60.00 60.00 60.00°
Atoms (fractional coordinates):
Na (0.000, 0.000, 0.000)
Nd (0.500, 0.500, 0.500)
Te (0.250, 0.250, 0.250)

ΔE to the lowest computed polymorph ... 0.0 kJ per mole of atoms